## Ta3Nb2V (GGA-PBE)

Data for a relaxed Ta3Nb2V crystal.

For the calculated formation energy, the calculation gives 1 kJ/mol of atoms.

The structure belongs to space group C2/m (No. 12); the cell edges are 16.677, 3.266 and 9.284 Å and the angles 90.00°, 123.72° and 90.00°. Symmetry generates all atoms from Ta at (0.084, 0.000, 0.206), Ta at (0.084, 0.500, 0.950), Ta at (0.244, 0.500, 0.869), Nb at (0.078, 0.500, 0.459), Nb at (0.248, 0.000, 0.623) and V at (0.080, 0.000, 0.707).